# PBE Re2TcHg, relaxed
# DFT total energy = -34.01 eV per formula unit
# Calculated formation energy = 388 meV/atom
# Total magnetic moment = 0.00 μB per atom
data_Re2TcHg
_chemical_formula_sum 'Re2 Tc1 Hg1'
_space_group_name_H-M_alt 'P 4 m m'
_space_group_IT_number 99
_space_group_name_Hall 'P 4 -2'
_cell_length_a 2.8353
_cell_length_b 2.8353
_cell_length_c 8.0689
_cell_angle_alpha 90.00
_cell_angle_beta 90.00
_cell_angle_gamma 90.00
loop_
_atom_site_label
_atom_site_type_symbol
_atom_site_fract_x
_atom_site_fract_y
_atom_site_fract_z
_atom_site_occupancy
Re1 Re 0.0000 0.0000 0.0000 1
Re2 Re 0.5000 0.5000 0.2258 1
Tc1 Tc 0.0000 0.0000 0.4503 1
Hg1 Hg 0.5000 0.5000 0.7228 1

=====

# PBE Re2TcHg, relaxed
# DFT total energy = -32.86 eV per formula unit
# Calculated formation energy = 676 meV/atom
# Total magnetic moment = 0.00 μB per atom
data_Re2TcHg
_chemical_formula_sum 'Re4 Tc2 Hg2'
_space_group_name_H-M_alt 'I -4 m 2'
_space_group_IT_number 119
_space_group_name_Hall 'I -4 -2'
_cell_length_a 3.9882
_cell_length_b 3.9882
_cell_length_c 7.9945
_cell_angle_alpha 90.00
_cell_angle_beta 90.00
_cell_angle_gamma 90.00
loop_
_atom_site_label
_atom_site_type_symbol
_atom_site_fract_x
_atom_site_fract_y
_atom_site_fract_z
_atom_site_occupancy
Re1 Re 0.0000 0.0000 0.0000 1
Re2 Re 0.0000 0.5000 0.2500 1
Tc1 Tc 0.0000 0.5000 0.7500 1
Hg1 Hg 0.0000 0.0000 0.5000 1

=====

# PBE ReTc3Hg, relaxed
# DFT total energy = -35.77 eV per formula unit
# Calculated formation energy = 1615 meV/atom
# Distance to the lowest polymorph of the same formula = 0.0 meV per atom
# Total magnetic moment = 0.43 μB per atom
data_ReTc3Hg
_chemical_formula_sum 'Re1 Tc3 Hg1'
_space_group_name_H-M_alt 'P m -3 m'
_space_group_IT_number 221
_space_group_name_Hall '-P 4 2 3'
_cell_length_a 4.7175
_cell_length_b 4.7175
_cell_length_c 4.7175
_cell_angle_alpha 90.00
_cell_angle_beta 90.00
_cell_angle_gamma 90.00
loop_
_atom_site_label
_atom_site_type_symbol
_atom_site_fract_x
_atom_site_fract_y
_atom_site_fract_z
_atom_site_occupancy
Re1 Re 0.0000 0.0000 0.0000 1
Tc1 Tc 0.0000 0.0000 0.5000 1
Hg1 Hg 0.5000 0.5000 0.5000 1

=====

# PBE Re2TcHg, relaxed
# DFT total energy = -33.44 eV per formula unit
# Calculated formation energy = 532 meV/atom
# Total magnetic moment = 0.00 μB per atom
data_Re2TcHg
_chemical_formula_sum 'Re4 Tc2 Hg2'
_space_group_name_H-M_alt 'C 1 m 1'
_space_group_IT_number 8
_space_group_name_Hall 'C -2y'
_cell_length_a 9.4063
_cell_length_b 2.8541
_cell_length_c 4.9290
_cell_angle_alpha 90.00
_cell_angle_beta 101.16
_cell_angle_gamma 90.00
loop_
_atom_site_label
_atom_site_type_symbol
_atom_site_fract_x
_atom_site_fract_y
_atom_site_fract_z
_atom_site_occupancy
Re1 Re 0.0000 0.0000 0.0000 1
Re2 Re 0.2375 0.5000 0.2111 1
Tc1 Tc 0.2643 0.0000 0.7808 1
Hg1 Hg 0.0010 0.5000 0.5009 1

=====

# PBE Re2TcHg, relaxed
# DFT total energy = -32.50 eV per formula unit
# Calculated formation energy = 767 meV/atom
# Total magnetic moment = 0.00 μB per atom
data_Re2TcHg
_chemical_formula_sum 'Re8 Tc4 Hg4'
_space_group_name_H-M_alt 'F -4 3 m'
_space_group_IT_number 216
_space_group_name_Hall 'F -4 2 3'
_cell_length_a 6.3671
_cell_length_b 6.3671
_cell_length_c 6.3671
_cell_angle_alpha 90.00
_cell_angle_beta 90.00
_cell_angle_gamma 90.00
loop_
_atom_site_label
_atom_site_type_symbol
_atom_site_fract_x
_atom_site_fract_y
_atom_site_fract_z
_atom_site_occupancy
Re1 Re 0.0000 0.0000 0.0000 1
Re2 Re 0.2500 0.2500 0.2500 1
Tc1 Tc 0.2500 0.2500 0.7500 1
Hg1 Hg 0.0000 0.0000 0.5000 1

=====

# PBE Re2TcHg, relaxed
# DFT total energy = -32.54 eV per formula unit
# Calculated formation energy = 755 meV/atom
# Total magnetic moment = 0.00 μB per atom
data_Re2TcHg
_chemical_formula_sum 'Re2 Tc1 Hg1'
_space_group_name_H-M_alt 'P 4/m m m'
_space_group_IT_number 123
_space_group_name_Hall '-P 4 2'
_cell_length_a 3.9528
_cell_length_b 3.9528
_cell_length_c 4.0624
_cell_angle_alpha 90.00
_cell_angle_beta 90.00
_cell_angle_gamma 90.00
loop_
_atom_site_label
_atom_site_type_symbol
_atom_site_fract_x
_atom_site_fract_y
_atom_site_fract_z
_atom_site_occupancy
Re1 Re 0.0000 0.5000 0.0000 1
Tc1 Tc 0.0000 0.0000 0.5000 1
Hg1 Hg 0.5000 0.5000 0.5000 1

=====

# PBE ReTc4Hg, relaxed
# DFT total energy = -50.99 eV per formula unit
# Calculated formation energy = 537 meV/atom
# Total magnetic moment = 0.00 μB per atom
data_ReTc4Hg
_chemical_formula_sum 'Re4 Tc16 Hg4'
_space_group_name_H-M_alt 'F -4 3 m'
_space_group_IT_number 216
_space_group_name_Hall 'F -4 2 3'
_cell_length_a 7.2635
_cell_length_b 7.2635
_cell_length_c 7.2635
_cell_angle_alpha 90.00
_cell_angle_beta 90.00
_cell_angle_gamma 90.00
loop_
_atom_site_label
_atom_site_type_symbol
_atom_site_fract_x
_atom_site_fract_y
_atom_site_fract_z
_atom_site_occupancy
Re1 Re 0.0000 0.0000 0.0000 1
Tc1 Tc 0.1243 0.1243 0.3757 1
Hg1 Hg 0.2500 0.2500 0.7500 1

=====

# PBE Re2TcHg, relaxed
# DFT total energy = -33.37 eV per formula unit
# Calculated formation energy = 550 meV/atom
# Total magnetic moment = 0.00 μB per atom
data_Re2TcHg
_chemical_formula_sum 'Re4 Tc2 Hg2'
_space_group_name_H-M_alt 'C m m 2'
_space_group_IT_number 35
_space_group_name_Hall 'C 2 -2'
_cell_length_a 2.9486
_cell_length_b 4.6579
_cell_length_c 9.5926
_cell_angle_alpha 90.00
_cell_angle_beta 90.00
_cell_angle_gamma 90.00
loop_
_atom_site_label
_atom_site_type_symbol
_atom_site_fract_x
_atom_site_fract_y
_atom_site_fract_z
_atom_site_occupancy
Re1 Re 0.0000 0.0000 0.0000 1
Re2 Re 0.0000 0.5000 0.2302 1
Tc1 Tc 0.0000 0.0000 0.4584 1
Hg1 Hg 0.0000 0.5000 0.7259 1

=====

# PBE Re2TcHg, relaxed
# DFT total energy = -33.19 eV per formula unit
# Calculated formation energy = 594 meV/atom
# Total magnetic moment = 0.00 μB per atom
data_Re2TcHg
_chemical_formula_sum 'Re4 Tc2 Hg2'
_space_group_name_H-M_alt 'C m m m'
_space_group_IT_number 65
_space_group_name_Hall '-C 2 2'
_cell_length_a 2.9435
_cell_length_b 4.6456
_cell_length_c 9.6281
_cell_angle_alpha 90.00
_cell_angle_beta 90.00
_cell_angle_gamma 90.00
loop_
_atom_site_label
_atom_site_type_symbol
_atom_site_fract_x
_atom_site_fract_y
_atom_site_fract_z
_atom_site_occupancy
Re1 Re 0.0000 0.0000 0.2281 1
Tc1 Tc 0.0000 0.5000 0.0000 1
Hg1 Hg 0.0000 0.5000 0.5000 1

=====

# PBE Re2TcHg, relaxed
# DFT total energy = -33.48 eV per formula unit
# Calculated formation energy = 521 meV/atom
# Total magnetic moment = 0.00 μB per atom
data_Re2TcHg
_chemical_formula_sum 'Re4 Tc2 Hg2'
_space_group_name_H-M_alt 'C 1 2/m 1'
_space_group_IT_number 12
_space_group_name_Hall '-C 2y'
_cell_length_a 9.5200
_cell_length_b 2.8482
_cell_length_c 4.8579
_cell_angle_alpha 90.00
_cell_angle_beta 101.47
_cell_angle_gamma 90.00
loop_
_atom_site_label
_atom_site_type_symbol
_atom_site_fract_x
_atom_site_fract_y
_atom_site_fract_z
_atom_site_occupancy
Re1 Re 0.2361 0.0000 0.2199 1
Tc1 Tc 0.0000 0.5000 0.0000 1
Hg1 Hg 0.0000 0.0000 0.5000 1

=====

# PBE Re2TcHg, relaxed
# DFT total energy = -31.26 eV per formula unit
# Calculated formation energy = 1076 meV/atom
# Total magnetic moment = 0.00 μB per atom
data_Re2TcHg
_chemical_formula_sum 'Re8 Tc4 Hg4'
_space_group_name_H-M_alt 'I -4 2 d'
_space_group_IT_number 122
_space_group_name_Hall 'I -4 2bw'
_cell_length_a 7.4230
_cell_length_b 7.4230
_cell_length_c 5.3321
_cell_angle_alpha 90.00
_cell_angle_beta 90.00
_cell_angle_gamma 90.00
loop_
_atom_site_label
_atom_site_type_symbol
_atom_site_fract_x
_atom_site_fract_y
_atom_site_fract_z
_atom_site_occupancy
Re1 Re 0.1941 0.7500 0.1250 1
Tc1 Tc 0.0000 0.0000 0.0000 1
Hg1 Hg 0.0000 0.0000 0.5000 1

=====

# PBE Re2TcHg, relaxed
# DFT total energy = -33.76 eV per formula unit
# Calculated formation energy = 452 meV/atom
# Total magnetic moment = 0.00 μB per atom
data_Re2TcHg
_chemical_formula_sum 'Re2 Tc1 Hg1'
_space_group_name_H-M_alt 'P m m 2'
_space_group_IT_number 25
_space_group_name_Hall 'P 2 -2'
_cell_length_a 2.8464
_cell_length_b 3.9769
_cell_length_c 5.7902
_cell_angle_alpha 90.00
_cell_angle_beta 90.00
_cell_angle_gamma 90.00
loop_
_atom_site_label
_atom_site_type_symbol
_atom_site_fract_x
_atom_site_fract_y
_atom_site_fract_z
_atom_site_occupancy
Re1 Re 0.0000 0.0000 0.0000 1
Re2 Re 0.5000 0.5000 0.2060 1
Tc1 Tc 0.0000 0.0000 0.4217 1
Hg1 Hg 0.5000 0.5000 0.7055 1

=====

# PBE Re2TcHg, relaxed
# DFT total energy = -32.70 eV per formula unit
# Calculated formation energy = 715 meV/atom
# Total magnetic moment = 0.00 μB per atom
data_Re2TcHg
_chemical_formula_sum 'Re4 Tc2 Hg2'
_space_group_name_H-M_alt 'C m m m'
_space_group_IT_number 65
_space_group_name_Hall '-C 2 2'
_cell_length_a 5.5227
_cell_length_b 8.0405
_cell_length_c 2.8651
_cell_angle_alpha 90.00
_cell_angle_beta 90.00
_cell_angle_gamma 90.00
loop_
_atom_site_label
_atom_site_type_symbol
_atom_site_fract_x
_atom_site_fract_y
_atom_site_fract_z
_atom_site_occupancy
Re1 Re 0.2500 0.2500 0.0000 1
Tc1 Tc 0.0000 0.0000 0.5000 1
Hg1 Hg 0.0000 0.5000 0.5000 1

=====

# PBE Re2TcHg, relaxed
# DFT total energy = -34.00 eV per formula unit
# Calculated formation energy = 391 meV/atom
# Total magnetic moment = 0.00 μB per atom
data_Re2TcHg
_chemical_formula_sum 'Re6 Tc3 Hg3'
_space_group_name_H-M_alt 'R -3 m'
_space_group_IT_number 166
_space_group_name_Hall '-R 3 2"'
_cell_length_a 2.8079
_cell_length_b 2.8079
_cell_length_c 28.4958
_cell_angle_alpha 90.00
_cell_angle_beta 90.00
_cell_angle_gamma 120.00
loop_
_atom_site_label
_atom_site_type_symbol
_atom_site_fract_x
_atom_site_fract_y
_atom_site_fract_z
_atom_site_occupancy
Re1 Re 0.0000 0.0000 0.2428 1
Tc1 Tc 0.0000 0.0000 0.5000 1
Hg1 Hg 0.0000 0.0000 0.0000 1

=====

# PBE Re2TcHg, relaxed
# DFT total energy = -32.81 eV per formula unit
# Calculated formation energy = 687 meV/atom
# Total magnetic moment = 0.00 μB per atom
data_Re2TcHg
_chemical_formula_sum 'Re4 Tc2 Hg2'
_space_group_name_H-M_alt 'I m m 2'
_space_group_IT_number 44
_space_group_name_Hall 'I 2 -2'
_cell_length_a 2.8971
_cell_length_b 4.7293
_cell_length_c 9.7190
_cell_angle_alpha 90.00
_cell_angle_beta 90.00
_cell_angle_gamma 90.00
loop_
_atom_site_label
_atom_site_type_symbol
_atom_site_fract_x
_atom_site_fract_y
_atom_site_fract_z
_atom_site_occupancy
Re1 Re 0.0000 0.0000 0.0000 1
Re2 Re 0.0000 0.5000 0.2782 1
Tc1 Tc 0.0000 0.5000 0.7202 1
Hg1 Hg 0.0000 0.0000 0.4984 1

=====

# PBE Re2TcHg, relaxed
# DFT total energy = -32.80 eV per formula unit
# Calculated formation energy = 690 meV/atom
# Total magnetic moment = 0.00 μB per atom
data_Re2TcHg
_chemical_formula_sum 'Re4 Tc2 Hg2'
_space_group_name_H-M_alt 'I 4/m m m'
_space_group_IT_number 139
_space_group_name_Hall '-I 4 2'
_cell_length_a 3.9029
_cell_length_b 3.9029
_cell_length_c 8.3586
_cell_angle_alpha 90.00
_cell_angle_beta 90.00
_cell_angle_gamma 90.00
loop_
_atom_site_label
_atom_site_type_symbol
_atom_site_fract_x
_atom_site_fract_y
_atom_site_fract_z
_atom_site_occupancy
Re1 Re 0.0000 0.5000 0.2500 1
Tc1 Tc 0.0000 0.0000 0.0000 1
Hg1 Hg 0.0000 0.0000 0.5000 1

=====

# PBE Re2TcHg, relaxed
# DFT total energy = -34.18 eV per formula unit
# Calculated formation energy = 347 meV/atom
# Total magnetic moment = 0.00 μB per atom
data_Re2TcHg
_chemical_formula_sum 'Re6 Tc3 Hg3'
_space_group_name_H-M_alt 'R 3 m'
_space_group_IT_number 160
_space_group_name_Hall 'R 3 -2"'
_cell_length_a 2.8185
_cell_length_b 2.8185
_cell_length_c 28.2702
_cell_angle_alpha 90.00
_cell_angle_beta 90.00
_cell_angle_gamma 120.00
loop_
_atom_site_label
_atom_site_type_symbol
_atom_site_fract_x
_atom_site_fract_y
_atom_site_fract_z
_atom_site_occupancy
Re1 Re 0.0000 0.0000 0.0000 1
Re2 Re 0.0000 0.0000 0.2564 1
Tc1 Tc 0.0000 0.0000 0.7431 1
Hg1 Hg 0.0000 0.0000 0.4988 1

=====

# PBE ReTc2HgW, relaxed
# DFT total energy = -37.61 eV per formula unit
# Calculated formation energy = 1764 meV/atom
# Total magnetic moment = 0.22 μB per atom
data_ReTc2HgW
_chemical_formula_sum 'Re1 Tc2 Hg1 W1'
_space_group_name_H-M_alt 'P 4/m m m'
_space_group_IT_number 123
_space_group_name_Hall '-P 4 2'
_cell_length_a 4.7056
_cell_length_b 4.7056
_cell_length_c 4.8032
_cell_angle_alpha 90.00
_cell_angle_beta 90.00
_cell_angle_gamma 90.00
loop_
_atom_site_label
_atom_site_type_symbol
_atom_site_fract_x
_atom_site_fract_y
_atom_site_fract_z
_atom_site_occupancy
Re1 Re 0.0000 0.0000 0.0000 1
Tc1 Tc 0.0000 0.5000 0.0000 1
Hg1 Hg 0.5000 0.5000 0.5000 1
W1 W 0.0000 0.0000 0.5000 1

=====

# PBE ReHg4Te, relaxed
# E_form (uncorrected) = 1.07 eV per atom
# DFT total energy = -10.40 eV per formula unit
# Total magnetic moment = 0.00 μB per atom
data_ReHg4Te
_chemical_formula_sum 'Re4 Hg16 Te4'
_space_group_name_H-M_alt 'F -4 3 m'
_space_group_IT_number 216
_space_group_name_Hall 'F -4 2 3'
_cell_length_a 8.1175
_cell_length_b 8.1175
_cell_length_c 8.1175
_cell_angle_alpha 90.00
_cell_angle_beta 90.00
_cell_angle_gamma 90.00
loop_
_atom_site_label
_atom_site_type_symbol
_atom_site_fract_x
_atom_site_fract_y
_atom_site_fract_z
_atom_site_occupancy
Re1 Re 0.0000 0.0000 0.0000 1
Hg1 Hg 0.1257 0.1257 0.3743 1
Te1 Te 0.2500 0.2500 0.7500 1

=====

# PBE ReHgTe, relaxed
# E_form (uncorrected) = 0.55 eV per atom
# DFT total energy = -14.24 eV per formula unit
# Distance to the lowest polymorph of the same formula = 0.0 meV per atom
# Total magnetic moment = 0.00 μB per atom
data_ReHgTe
_chemical_formula_sum 'Re1 Hg1 Te1'
_space_group_name_H-M_alt 'P 3 m 1'
_space_group_IT_number 156
_space_group_name_Hall 'P 3 -2"'
_cell_length_a 3.3211
_cell_length_b 3.3211
_cell_length_c 7.0164
_cell_angle_alpha 90.00
_cell_angle_beta 90.00
_cell_angle_gamma 120.00
loop_
_atom_site_label
_atom_site_type_symbol
_atom_site_fract_x
_atom_site_fract_y
_atom_site_fract_z
_atom_site_occupancy
Re1 Re 0.0000 0.0000 0.0000 1
Hg1 Hg 0.6667 0.3333 0.6867 1
Te1 Te 0.3333 0.6667 0.2549 1